DFT (PBE) results for a relaxed structure of NdBiPd.

```
9
Lattice="7.793 0.000 0.000 -3.897 6.749 0.000 0.000 0.000 4.317" Properties=species:S:1:pos:R:3 pbc="T T T"
Nd -2.367 4.100 0.000
Nd 1.530 2.650 0.000
Nd 4.734 0.000 0.000
Bi -1.055 1.828 2.158
Bi 2.111 0.000 2.158
Bi 2.841 4.921 2.158
Pd 0.000 0.000 0.000
Pd 0.000 4.500 2.158
Pd 3.897 2.250 2.158
```

Results
electronic total energy	-49.22	eV for the cell shown
M_tot	0.00	μB/f.u.
mass density	10.08	g cm⁻³



DFT (PBE) results for a relaxed structure of Nd3Bi2As.

```
6
Lattice="4.462 0.000 0.000 -2.231 3.864 0.000 0.000 0.000 11.111" Properties=species:S:1:pos:R:3 pbc="T T T"
Nd 0.000 0.000 0.000
Nd 0.000 2.576 3.909
Nd 2.231 1.288 7.203
Bi 0.000 2.576 9.176
Bi 2.231 1.288 1.935
As 0.000 0.000 5.556
```

Results
electronic total energy	-33.81	eV for the cell shown
M_tot	0.01	μB/f.u.
mass density	8.02	g cm⁻³



DFT (PBE) results for a relaxed structure of CsCuTc.

```
3
Lattice="0.000 3.570 3.570 3.570 0.000 3.570 3.570 3.570 0.000" Properties=species:S:1:pos:R:3 pbc="T T T"
Cs 0.000 0.000 0.000
Cu 1.785 1.785 1.785
Tc 3.570 3.570 3.570
```

Results
electronic total energy	-9.24	eV for the cell shown
M_tot	3.73	μB/f.u.
mass density	5.37	g cm⁻³



DFT (PBE) results for a relaxed structure of NaZrReMo.

```
4
Lattice="0.000 3.296 3.296 3.296 0.000 3.296 3.296 3.296 0.000" Properties=species:S:1:pos:R:3 pbc="T T T"
Na 0.000 0.000 0.000
Zr 3.296 3.296 3.296
Re 1.648 1.648 1.648
Mo 4.945 4.945 4.945
```

Results
energy above the most stable polymorph in this dataset	0.462	eV/atom
M_tot	1.65	μB/f.u.
mass density	9.19	g cm⁻³



DFT (PBE) results for a relaxed structure of GdTcPO.

```
8
Lattice="4.460 0.000 0.000 0.000 4.460 0.000 0.000 0.000 7.510" Properties=species:S:1:pos:R:3 pbc="T T T"
Gd 1.115 3.345 0.000
Gd 3.345 1.115 0.000
Tc 1.115 1.115 3.597
Tc 3.345 3.345 3.913
P 1.115 1.115 5.957
P 3.345 3.345 1.553
O 1.115 3.345 3.755
O 3.345 1.115 3.755
```

Results
energy above the most stable polymorph in this dataset	1.709	eV/atom
M_tot	2.86	μB/f.u.
mass density	6.72	g cm⁻³



DFT (PBE) results for a relaxed structure of PuNb.

```
2
Lattice="0.000 2.709 2.709 2.709 0.000 2.709 2.709 2.709 0.000" Properties=species:S:1:pos:R:3 pbc="T T T"
Pu 0.000 0.000 0.000
Nb 2.709 2.709 2.709
```

Results
energy above the most stable polymorph in this dataset	0.619	eV/atom
M_tot	4.10	μB/f.u.
formation energy from the elements	2.2	eV/f.u.
mass density	14.07	g cm⁻³